## FeIrPdRh (PBE-GGA)

Data for a geometry-optimized FeIrPdRh structure.

Structure (extended XYZ):
```
4
Lattice="-0.146 2.669 0.557 -2.076 0.253 -1.754 -4.891 -1.432 5.584" Properties=species:S:1:pos:R:3 pbc="T T T"
Fe -5.099 0.293 3.954
Ir -2.836 -0.830 3.237
Pd -0.292 -0.086 0.334
Rh -2.725 0.988 1.244
```

## Properties
raw total energy	-7.477	eV per atom
calculated formation energy	-0.010	eV/atom
symmetry	P4mm (99)
Fermi-level density of states	4.890	states/eV/cell